[1]
Computed, not measured: crystalline La8TcPt3I4 at its relaxed geometry at the PBE level of DFT.

Properties
volume = 32.99 A^3/atom
density of states at the Fermi level = 7.20 states/eV/f.u.
calculated total energy = -273.931 eV per cell

Structure (CIF):
```
data_La8TcPt3I4
_chemical_formula_sum 'La24 Tc3 Pt9 I12'
_space_group_name_H-M_alt 'R -3 m'
_space_group_IT_number 166
_space_group_name_Hall '-R 3 2"'
_cell_length_a 8.5997
_cell_length_b 8.5997
_cell_length_c 24.7273
_cell_angle_alpha 90.00
_cell_angle_beta 90.00
_cell_angle_gamma 120.00
loop_
_atom_site_label
_atom_site_type_symbol
_atom_site_fract_x
_atom_site_fract_y
_atom_site_fract_z
La1 La 0.0000 0.0000 0.2286
La2 La 0.0127 0.5063 0.2294
Tc1 Tc 0.0000 0.0000 0.5000
Pt1 Pt 0.0000 0.5000 0.5000
I1 I 0.0000 0.0000 0.0000
I2 I 0.0000 0.5000 0.0000
```


[2]
Computed, not measured: crystalline Zr2InCo2 at its relaxed geometry at the PBE level of DFT.

Properties
volume = 18.90 A^3/atom
density of states at the Fermi level = 4.13 states/eV/f.u.
energy of formation = -0.095 eV/atom
calculated total energy = -69.042 eV per cell

Structure (CIF):
```
data_Zr2InCo2
_chemical_formula_sum 'Zr4 In2 Co4'
_space_group_name_H-M_alt 'I 4/m m m'
_space_group_IT_number 139
_space_group_name_Hall '-I 4 2'
_cell_length_a 4.484
_cell_length_b 4.484
_cell_length_c 9.396
_cell_angle_alpha 90.00
_cell_angle_beta 90.00
_cell_angle_gamma 90.00
loop_
_atom_site_label
_atom_site_type_symbol
_atom_site_fract_x
_atom_site_fract_y
_atom_site_fract_z
Zr1 Zr 0.000 0.500 0.250
In1 In 0.000 0.000 0.000
Co1 Co 0.000 0.000 0.385
```


[3]
Computed, not measured: crystalline CdH2Rh at its relaxed geometry at the PBE level of DFT.

Properties
volume = 10.15 A^3/atom
density of states at the Fermi level = 1.07 states/eV/f.u.
calculated total energy = -45.094 eV per cell

Structure (CIF):
```
data_CdH2Rh
_chemical_formula_sum 'Cd3 H6 Rh3'
_space_group_name_H-M_alt 'R -3 m'
_space_group_IT_number 166
_space_group_name_Hall '-R 3 2"'
_cell_length_a 3.0786
_cell_length_b 3.0786
_cell_length_c 14.8428
_cell_angle_alpha 90.00
_cell_angle_beta 90.00
_cell_angle_gamma 120.00
loop_
_atom_site_label
_atom_site_type_symbol
_atom_site_fract_x
_atom_site_fract_y
_atom_site_fract_z
Cd1 Cd 0.0000 0.0000 0.0000
H1 H 0.0000 0.0000 0.2024
Rh1 Rh 0.0000 0.0000 0.5000
```


[4]
Computed, not measured: crystalline SnHg2Te at its relaxed geometry at the PBE level of DFT.

Properties
volume = 36.08 A^3/atom
distance to the lowest polymorph of the same formula = 80 kJ/mol of formula units
density of states at the Fermi level = 1.78 states/eV/f.u.
calculated total energy = -29.520 eV per cell

Structure (CIF):
```
data_SnHg2Te
_chemical_formula_sum 'Sn4 Hg8 Te4'
_space_group_name_H-M_alt 'I -4 2 d'
_space_group_IT_number 122
_space_group_name_Hall 'I -4 2bw'
_cell_length_a 6.975
_cell_length_b 6.975
_cell_length_c 11.865
_cell_angle_alpha 90.00
_cell_angle_beta 90.00
_cell_angle_gamma 90.00
loop_
_atom_site_label
_atom_site_type_symbol
_atom_site_fract_x
_atom_site_fract_y
_atom_site_fract_z
Sn1 Sn 0.000 0.000 0.000
Hg1 Hg 0.242 0.250 0.125
Te1 Te 0.000 0.000 0.500
```


[5]
Computed, not measured: crystalline Cd2NiTe at its relaxed geometry at the PBE level of DFT.

Properties
volume = 22.60 A^3/atom
density of states at the Fermi level = 1.78 states/eV/f.u.
calculated total energy = -10.129 eV per cell

Structure (CIF):
```
data_Cd2NiTe
_chemical_formula_sum 'Cd2 Ni1 Te1'
_space_group_name_H-M_alt 'P 1 2/m 1'
_space_group_IT_number 10
_space_group_name_Hall '-P 2y'
_cell_length_a 4.656
_cell_length_b 4.292
_cell_length_c 4.742
_cell_angle_alpha 90.00
_cell_angle_beta 107.46
_cell_angle_gamma 90.00
loop_
_atom_site_label
_atom_site_type_symbol
_atom_site_fract_x
_atom_site_fract_y
_atom_site_fract_z
Cd1 Cd 0.200 0.000 0.297
Ni1 Ni 0.000 0.500 0.500
Te1 Te 0.500 0.500 0.000
```


[6]
Computed, not measured: crystalline LiYZr at its relaxed geometry at the PBE level of DFT.

Properties
volume = 23.77 A^3/atom
distance to the lowest polymorph of the same formula = 130 kJ/mol of formula units
density of states at the Fermi level = 2.44 states/eV/f.u.
energy of formation = 0.517 eV/atom
calculated total energy = -30.753 eV per cell

Structure (CIF):
```
data_LiYZr
_chemical_formula_sum 'Li2 Y2 Zr2'
_space_group_name_H-M_alt 'P 4/n m m'
_space_group_IT_number 129
_cell_length_a 4.506
_cell_length_b 4.506
_cell_length_c 7.023
_cell_angle_alpha 90.00
_cell_angle_beta 90.00
_cell_angle_gamma 90.00
loop_
_space_group_symop_operation_xyz
'x,y,z'
'-x,-y,-z'
'-y+1/2,x,z'
'y+1/2,-x,-z'
'-x+1/2,-y+1/2,z'
'x+1/2,y+1/2,-z'
'y,-x+1/2,z'
'-y,x+1/2,-z'
'x+1/2,-y,-z'
'-x+1/2,y,z'
'-y,-x,-z'
'y,x,z'
'-x,y+1/2,-z'
'x,-y+1/2,z'
'y+1/2,x+1/2,-z'
'-y+1/2,-x+1/2,z'
loop_
_atom_site_label
_atom_site_type_symbol
_atom_site_fract_x
_atom_site_fract_y
_atom_site_fract_z
Li1 Li 0.250 0.250 0.229
Y1 Y 0.250 0.750 0.500
Zr1 Zr 0.250 0.250 0.871
```


[7]
Computed, not measured: crystalline Sm6ErTm2Sc at its relaxed geometry at the PBE level of DFT.

Properties
volume = 32.79 A^3/atom
density of states at the Fermi level = 14.36 states/eV/f.u.
energy of formation = 0.238 eV/atom
calculated total energy = -91.548 eV per cell

Structure (CIF):
```
data_Sm6ErTm2Sc
_chemical_formula_sum 'Sm12 Er2 Tm4 Sc2'
_space_group_name_H-M_alt 'C 1 2/m 1'
_space_group_IT_number 12
_space_group_name_Hall '-C 2y'
_cell_length_a 10.008
_cell_length_b 7.617
_cell_length_c 8.801
_cell_angle_alpha 90.00
_cell_angle_beta 102.15
_cell_angle_gamma 90.00
loop_
_atom_site_label
_atom_site_type_symbol
_atom_site_fract_x
_atom_site_fract_y
_atom_site_fract_z
Sm1 Sm 0.134 0.214 0.285
Sm2 Sm 0.155 0.500 0.943
Er1 Er 0.000 0.500 0.500
Tm1 Tm 0.133 0.000 0.639
Sc1 Sc 0.000 0.000 0.000
```


[8]
Computed, not measured: crystalline Re2HgAs at its relaxed geometry at the PBE level of DFT.

Properties
volume = 16.42 A^3/atom
distance to the lowest polymorph of the same formula = 154 kJ/mol of formula units
density of states at the Fermi level = 3.33 states/eV/f.u.
energy of formation = 0.677 eV/atom
calculated total energy = -27.138 eV per cell

Structure (CIF):
```
data_Re2HgAs
_chemical_formula_sum 'Re2 Hg1 As1'
_space_group_name_H-M_alt 'P 4/m m m'
_space_group_IT_number 123
_space_group_name_Hall '-P 4 2'
_cell_length_a 3.077
_cell_length_b 3.077
_cell_length_c 6.937
_cell_angle_alpha 90.00
_cell_angle_beta 90.00
_cell_angle_gamma 90.00
loop_
_atom_site_label
_atom_site_type_symbol
_atom_site_fract_x
_atom_site_fract_y
_atom_site_fract_z
Re1 Re 0.000 0.000 0.200
Hg1 Hg 0.500 0.500 0.500
As1 As 0.500 0.500 0.000
```